Here is a relaxed structure of TlOsW2 from Alexandria via LeMat-Bulk. Energies are from GGA-PBE.

Results
**E_form**: 1045 meV/atom
**Energy relative to the lowest polymorph listed for this composition**: 502 meV/atom
**D(E_F)**: 13.24 states/eV/cell
**SG**: No. 225
**V**: 273 Å³ per cell
**Size of the total moment**: 0.00 Bohr magnetons per cell

a b c (Å): 6.488 6.488 6.488
angles (deg): 90.00 90.00 90.00
Sites, in units of the cell vectors:
1 Tl 0.000 0.000 0.000
2 Tl 0.000 0.500 0.500
3 Tl 0.500 0.000 0.500
4 Tl 0.500 0.500 0.000
5 Os 0.000 0.000 0.500
6 Os 0.000 0.500 0.000
7 Os 0.500 0.000 0.000
8 Os 0.500 0.500 0.500
9 W 0.250 0.250 0.250
10 W 0.250 0.250 0.750
11 W 0.250 0.750 0.250
12 W 0.250 0.750 0.750
13 W 0.750 0.250 0.250
14 W 0.750 0.250 0.750
15 W 0.750 0.750 0.250
16 W 0.750 0.750 0.750